# Co6IrPt, relaxed, DFT PBE
# DOS at the Fermi energy	1.35	states/eV/atom
# ΔE_f	-0.007	eV per atom
data_Co6IrPt
_chemical_formula_sum 'Co48 Ir8 Pt8'
_space_group_name_H-M_alt 'C m m m'
_space_group_IT_number 65
_space_group_name_Hall '-C 2 2'
_cell_length_a 7.307
_cell_length_b 10.305
_cell_length_c 10.312
_cell_angle_alpha 90.00
_cell_angle_beta 90.00
_cell_angle_gamma 90.00
loop_
_atom_site_label
_atom_site_fract_x
_atom_site_fract_y
_atom_site_fract_z
Co1 0.000 0.000 0.000
Co2 0.000 0.000 0.500
Co3 0.000 0.249 0.249
Co4 0.000 0.500 0.000
Co5 0.000 0.500 0.500
Co6 0.248 0.124 0.374
Co7 0.248 0.126 0.124
Ir1 0.000 0.000 0.249
Ir2 0.000 0.250 0.000
Pt1 0.000 0.250 0.500
Pt2 0.000 0.500 0.249